{"formula": "TbThPb", "functional": "GGA-PBE", "state": "relaxed", "lattice": [[2.9177, -10.4903, 0.0000], [2.9177, 10.4903, 0.0000], [0.0000, 0.0000, 3.4952]], "species": ["Tb", "Tb", "Th", "Th", "Pb", "Pb"], "frac_coords": [[0.1310, 0.8690, 0.7500], [0.8690, 0.1310, 0.2500], [0.2778, 0.7222, 0.2500], [0.7222, 0.2778, 0.7500], [0.4364, 0.5636, 0.2500], [0.5636, 0.4364, 0.7500]], "space_group": "Cmcm, No. 63", "dos_ef_per_ev_atom": 0.824, "e_tot_ev_per_cell": -30.56, "formation_energy_ev_per_atom": 0.1588, "m_tot_mub_per_fu": 0.0}



{"formula": "TbTh2Pb", "functional": "GGA-PBE", "state": "relaxed", "lattice": [[1.7216, 0.9940, 12.4106], [-1.7216, 0.9940, 12.4106], [0.0000, -1.9879, 12.4106]], "species": ["Tb", "Th", "Th", "Pb"], "frac_coords": [[0.0000, 0.0000, 0.0000], [0.0894, 0.0894, 0.0894], [0.9106, 0.9106, 0.9106], [0.5000, 0.5000, 0.5000]], "space_group": "R-3m, No. 166", "dos_ef_per_ev_atom": 1.506, "e_tot_ev_per_cell": -22.54, "formation_energy_ev_per_atom": 0.1586, "m_tot_mub_per_fu": 0.0}



{"formula": "Tb2ThPb", "functional": "GGA-PBE", "state": "relaxed", "lattice": [[3.1062, -1.7940, 0.0000], [3.1062, 1.7940, 0.0000], [-2.0597, 0.0000, 11.0483]], "species": ["Tb", "Tb", "Th", "Pb"], "frac_coords": [[0.0000, 0.0000, 0.0000], [0.1736, 0.1736, 0.5212], [0.4200, 0.4200, 0.2600], [0.5866, 0.5866, 0.7601]], "space_group": "Cm, No. 8", "dos_ef_per_ev_atom": 1.198, "e_tot_ev_per_cell": -20.93, "formation_energy_ev_per_atom": -0.1364, "m_tot_mub_per_fu": 0.0}



{"formula": "TbThPb", "functional": "GGA-PBE", "state": "relaxed", "lattice": [[-1.6654, 1.6654, 9.2131], [1.6654, -1.6654, 9.2131], [1.6654, 1.6654, -9.2131]], "species": ["Tb", "Th", "Pb"], "frac_coords": [[0.0000, 0.0000, 0.0000], [0.1881, 0.1881, 0.0000], [0.8279, 0.8279, 0.0000]], "space_group": "I4mm, No. 107", "dos_ef_per_ev_atom": 1.710, "e_tot_ev_per_cell": -14.68, "formation_energy_ev_per_atom": 0.3605, "m_tot_mub_per_fu": 0.4}



{"formula": "TbThPb", "functional": "GGA-PBE", "state": "relaxed", "lattice": [[4.6185, 0.0000, 0.0000], [0.0000, 4.6185, 0.0000], [0.0000, 0.0000, 8.8443]], "species": ["Tb", "Tb", "Th", "Th", "Pb", "Pb"], "frac_coords": [[0.2500, 0.2500, 0.1483], [0.7500, 0.7500, 0.8517], [0.2500, 0.7500, 0.5000], [0.7500, 0.2500, 0.5000], [0.2500, 0.2500, 0.7887], [0.7500, 0.7500, 0.2113]], "space_group": "P4/nmm, No. 129", "dos_ef_per_ev_atom": 1.186, "e_tot_ev_per_cell": -33.41, "formation_energy_ev_per_atom": -0.3152, "m_tot_mub_per_fu": 0.0}



{"formula": "TbTh2Pb", "functional": "GGA-PBE", "state": "relaxed", "lattice": [[4.8291, 0.0000, 0.0000], [0.0000, 4.8291, 0.0000], [0.0000, 0.0000, 5.1586]], "species": ["Tb", "Th", "Th", "Pb"], "frac_coords": [[0.0000, 0.0000, 0.0000], [0.0000, 0.5000, 0.5000], [0.5000, 0.0000, 0.5000], [0.5000, 0.5000, 0.0000]], "space_group": "P4/mmm, No. 123", "dos_ef_per_ev_atom": 1.293, "e_tot_ev_per_cell": -24.01, "formation_energy_ev_per_atom": -0.2083, "m_tot_mub_per_fu": 0.0}



{"formula": "Tb2ThPb", "functional": "GGA-PBE", "state": "relaxed", "lattice": [[3.6537, 0.0000, 0.0000], [0.0000, 3.6537, 0.0000], [0.0000, 0.0000, 9.0798]], "species": ["Tb", "Tb", "Th", "Pb"], "frac_coords": [[0.0000, 0.0000, 0.2377], [0.0000, 0.0000, 0.7623], [0.5000, 0.5000, 0.5000], [0.5000, 0.5000, 0.0000]], "space_group": "P4/mmm, No. 123", "dos_ef_per_ev_atom": 0.575, "e_tot_ev_per_cell": -21.29, "formation_energy_ev_per_atom": -0.2257, "m_tot_mub_per_fu": 0.0}



{"formula": "TbThPb", "functional": "GGA-PBE", "state": "relaxed", "lattice": [[-2.2934, 2.2934, 8.8657], [2.2934, -2.2934, 8.8657], [2.2934, 2.2934, -8.8657]], "species": ["Tb", "Tb", "Th", "Th", "Pb", "Pb"], "frac_coords": [[0.1740, 0.1740, 0.0000], [0.8260, 0.8260, 0.0000], [0.0000, 0.5000, 0.5000], [0.5000, 0.0000, 0.5000], [0.3546, 0.3546, 0.0000], [0.6454, 0.6454, 0.0000]], "space_group": "I4/mmm, No. 139", "dos_ef_per_ev_atom": 1.081, "e_tot_ev_per_cell": -33.65, "formation_energy_ev_per_atom": -0.3556, "m_tot_mub_per_fu": 0.0}



{"formula": "Tb2ThPb", "functional": "GGA-PBE", "state": "relaxed", "lattice": [[1.7824, 1.0291, 11.9653], [-1.7824, 1.0291, 11.9653], [0.0000, -2.0581, 11.9653]], "species": ["Tb", "Tb", "Th", "Pb"], "frac_coords": [[0.0889, 0.0889, 0.0889], [0.9111, 0.9111, 0.9111], [0.5000, 0.5000, 0.5000], [0.0000, 0.0000, 0.0000]], "space_group": "R-3m, No. 166", "dos_ef_per_ev_atom": 0.930, "e_tot_ev_per_cell": -20.26, "formation_energy_ev_per_atom": 0.0319, "m_tot_mub_per_fu": 0.0}



{"formula": "TbTh3Pb5", "functional": "GGA-PBE", "state": "relaxed", "lattice": [[9.7436, 0.0000, 0.0000], [-4.8718, 8.4382, 0.0000], [0.0000, 0.0000, 6.5746]], "species": ["Tb", "Tb", "Th", "Th", "Th", "Th", "Th", "Th", "Pb", "Pb", "Pb", "Pb", "Pb", "Pb", "Pb", "Pb", "Pb", "Pb"], "frac_coords": [[0.0000, 0.0000, 0.0000], [0.0000, 0.0000, 0.5000], [0.0000, 0.3838, 0.2500], [0.0000, 0.6162, 0.7500], [0.3838, 0.0000, 0.2500], [0.3838, 0.3838, 0.7500], [0.6162, 0.0000, 0.7500], [0.6162, 0.6162, 0.2500], [0.0000, 0.2784, 0.7500], [0.0000, 0.7216, 0.2500], [0.2784, 0.0000, 0.7500], [0.2784, 0.2784, 0.2500], [0.3333, 0.6667, 0.0000], [0.3333, 0.6667, 0.5000], [0.6667, 0.3333, 0.0000], [0.6667, 0.3333, 0.5000], [0.7216, 0.0000, 0.2500], [0.7216, 0.7216, 0.7500]], "space_group": "P6_3/mcm, No. 193", "dos_ef_per_ev_atom": 0.886, "e_tot_ev_per_cell": -97.26, "formation_energy_ev_per_atom": -0.3555, "m_tot_mub_per_fu": 0.0}



{"formula": "TbTh6Pb10", "functional": "GGA-PBE", "state": "relaxed", "lattice": [[9.6886, 0.0000, 0.0000], [-4.8443, 8.3906, 0.0000], [0.0000, 0.0000, 6.4414]], "species": ["Tb", "Th", "Th", "Th", "Th", "Th", "Th", "Pb", "Pb", "Pb", "Pb", "Pb", "Pb", "Pb", "Pb", "Pb", "Pb"], "frac_coords": [[0.0000, 0.0000, 0.0000], [0.0000, 0.3871, 0.7575], [0.0000, 0.6129, 0.2425], [0.3871, 0.0000, 0.7575], [0.3871, 0.3871, 0.2425], [0.6129, 0.0000, 0.2425], [0.6129, 0.6129, 0.7575], [0.0000, 0.2639, 0.2762], [0.0000, 0.7361, 0.7238], [0.2639, 0.0000, 0.2762], [0.2639, 0.2639, 0.7238], [0.3333, 0.6667, 0.0000], [0.3333, 0.6667, 0.5000], [0.6667, 0.3333, 0.0000], [0.6667, 0.3333, 0.5000], [0.7361, 0.0000, 0.7238], [0.7361, 0.7361, 0.2762]], "space_group": "P-31m, No. 162", "dos_ef_per_ev_atom": 0.886, "e_tot_ev_per_cell": -90.73, "formation_energy_ev_per_atom": -0.2646, "m_tot_mub_per_fu": 0.0}



{"formula": "TbThTlPb", "functional": "GGA-PBE", "state": "relaxed", "lattice": [[0.0000, 3.8827, 3.8827], [3.8827, 0.0000, 3.8827], [3.8827, 3.8827, 0.0000]], "species": ["Tb", "Th", "Tl", "Pb"], "frac_coords": [[0.0000, 0.0000, 0.0000], [0.5000, 0.5000, 0.5000], [0.7500, 0.7500, 0.7500], [0.2500, 0.2500, 0.2500]], "space_group": "F-43m, No. 216", "dos_ef_per_ev_atom": 1.145, "e_tot_ev_per_cell": -19.03, "formation_energy_ev_per_atom": -0.2263, "m_tot_mub_per_fu": 0.0}



{"formula": "TbTiPb2", "functional": "GGA-PBE", "state": "relaxed", "lattice": [[2.3600, 1.3625, 5.3904], [-2.3600, 1.3625, 5.3904], [0.0000, -2.7251, 5.3904]], "species": ["Tb", "Ti", "Pb", "Pb"], "frac_coords": [[0.0000, 0.0000, 0.0000], [0.5000, 0.5000, 0.5000], [0.2369, 0.2369, 0.2369], [0.7631, 0.7631, 0.7631]], "space_group": "R-3m, No. 166", "dos_ef_per_ev_atom": 0.863, "e_tot_ev_per_cell": -20.45, "formation_energy_ev_per_atom": -0.1270, "m_tot_mub_per_fu": 0.0}



{"formula": "TbTiPb2", "functional": "GGA-PBE", "state": "relaxed", "lattice": [[3.8493, 0.0000, 0.0000], [0.0000, 3.8493, 0.0000], [0.0000, 0.0000, 6.7219]], "species": ["Tb", "Ti", "Pb", "Pb"], "frac_coords": [[0.0000, 0.0000, 0.0000], [0.0000, 0.0000, 0.5000], [0.5000, 0.5000, 0.2747], [0.5000, 0.5000, 0.7253]], "space_group": "P4/mmm, No. 123", "dos_ef_per_ev_atom": 1.004, "e_tot_ev_per_cell": -20.30, "formation_energy_ev_per_atom": -0.0902, "m_tot_mub_per_fu": 0.0}



{"formula": "TbTiPb2", "functional": "GGA-PBE", "state": "relaxed", "lattice": [[4.7501, 0.0000, 0.0000], [0.0000, 4.7501, 0.0000], [0.0000, 0.0000, 4.4128]], "species": ["Tb", "Ti", "Pb", "Pb"], "frac_coords": [[0.0000, 0.0000, 0.0000], [0.5000, 0.5000, 0.0000], [0.0000, 0.5000, 0.5000], [0.5000, 0.0000, 0.5000]], "space_group": "P4/mmm, No. 123", "dos_ef_per_ev_atom": 0.999, "e_tot_ev_per_cell": -20.33, "formation_energy_ev_per_atom": -0.0968, "m_tot_mub_per_fu": 0.7}



{"formula": "TbTiPb", "functional": "GGA-PBE", "state": "relaxed", "lattice": [[4.3191, 0.0000, 0.0000], [0.0000, 4.3191, 0.0000], [0.0000, 0.0000, 8.0811]], "species": ["Tb", "Tb", "Ti", "Ti", "Pb", "Pb"], "frac_coords": [[0.2500, 0.2500, 0.1634], [0.7500, 0.7500, 0.8366], [0.2500, 0.7500, 0.5000], [0.7500, 0.2500, 0.5000], [0.2500, 0.2500, 0.7546], [0.7500, 0.7500, 0.2454]], "space_group": "P4/nmm, No. 129", "dos_ef_per_ev_atom": 0.810, "e_tot_ev_per_cell": -34.23, "formation_energy_ev_per_atom": -0.2933, "m_tot_mub_per_fu": 0.5}



{"formula": "Tb8Tl2Pb", "functional": "GGA-PBE", "state": "relaxed", "lattice": [[8.5726, -2.4767, 0.0000], [8.5726, 2.4767, 0.0000], [-3.0129, 0.0000, 7.6218]], "species": ["Tb", "Tb", "Tb", "Tb", "Tb", "Tb", "Tb", "Tb", "Tl", "Tl", "Pb"], "frac_coords": [[0.0537, 0.0537, 0.2254], [0.1438, 0.1438, 0.7037], [0.3200, 0.3200, 0.5613], [0.4047, 0.4047, 0.0460], [0.5953, 0.5953, 0.9540], [0.6800, 0.6800, 0.4387], [0.8562, 0.8562, 0.2963], [0.9463, 0.9463, 0.7746], [0.2236, 0.2236, 0.1485], [0.7764, 0.7764, 0.8515], [0.5000, 0.5000, 0.5000]], "space_group": "C2/m, No. 12", "dos_ef_per_ev_atom": 1.069, "e_tot_ev_per_cell": -47.88, "formation_energy_ev_per_atom": -0.2177, "m_tot_mub_per_fu": 0.0}



{"formula": "Tb2TlPb", "functional": "GGA-PBE", "state": "relaxed", "lattice": [[5.0677, 0.0000, 0.0000], [0.0000, 5.0677, 0.0000], [0.0000, 0.0000, 4.3511]], "species": ["Tb", "Tb", "Tl", "Pb"], "frac_coords": [[0.0000, 0.5000, 0.0000], [0.5000, 0.0000, 0.0000], [0.0000, 0.0000, 0.5000], [0.5000, 0.5000, 0.5000]], "space_group": "P4/mmm, No. 123", "dos_ef_per_ev_atom": 0.783, "e_tot_ev_per_cell": -16.97, "formation_energy_ev_per_atom": -0.4079, "m_tot_mub_per_fu": 0.0}



{"formula": "Tb2TlPb", "functional": "GGA-PBE", "state": "relaxed", "lattice": [[2.3322, 1.3465, 6.9326], [-2.3322, 1.3465, 6.9326], [0.0000, -2.6930, 6.9326]], "species": ["Tb", "Tb", "Tl", "Pb"], "frac_coords": [[0.0000, 0.0000, 0.0000], [0.1816, 0.1816, 0.1816], [0.4221, 0.4221, 0.4221], [0.5889, 0.5889, 0.5889]], "space_group": "R3m, No. 160", "dos_ef_per_ev_atom": 0.871, "e_tot_ev_per_cell": -16.22, "formation_energy_ev_per_atom": -0.2208, "m_tot_mub_per_fu": 0.0}



{"formula": "Tb4TlPb", "functional": "GGA-PBE", "state": "relaxed", "lattice": [[4.5717, -6.9916, 0.0000], [4.5717, 6.9916, 0.0000], [-2.8486, 0.0000, 5.7354]], "species": ["Tb", "Tb", "Tb", "Tb", "Tb", "Tb", "Tb", "Tb", "Tl", "Tl", "Pb", "Pb"], "frac_coords": [[0.0773, 0.6992, 0.9247], [0.2206, 0.3832, 0.6836], [0.3008, 0.9227, 0.5753], [0.3832, 0.2206, 0.1836], [0.6168, 0.7794, 0.8164], [0.6992, 0.0773, 0.4247], [0.7794, 0.6168, 0.3164], [0.9227, 0.3008, 0.0753], [0.0011, 0.9989, 0.2500], [0.9989, 0.0011, 0.7500], [0.3790, 0.6210, 0.2500], [0.6210, 0.3790, 0.7500]], "space_group": "C2/c, No. 15", "dos_ef_per_ev_atom": 1.138, "e_tot_ev_per_cell": -52.20, "formation_energy_ev_per_atom": -0.2507, "m_tot_mub_per_fu": 0.0}



{"formula": "TbTlPb2", "functional": "GGA-PBE", "state": "relaxed", "lattice": [[3.4539, -4.7470, 0.0000], [3.4539, 4.7470, 0.0000], [0.0000, 0.0000, 3.5653]], "species": ["Tb", "Tl", "Pb", "Pb"], "frac_coords": [[0.0000, 0.0000, 0.0000], [0.5000, 0.5000, 0.0000], [0.0000, 0.5000, 0.5000], [0.5000, 0.0000, 0.5000]], "space_group": "Cmmm, No. 65", "dos_ef_per_ev_atom": 0.595, "e_tot_ev_per_cell": -15.34, "formation_energy_ev_per_atom": -0.2316, "m_tot_mub_per_fu": 0.0}



{"formula": "Tb6Tl4Pb7", "functional": "GGA-PBE", "state": "relaxed", "lattice": [[-5.0507, 5.0507, 5.0507], [5.0507, -5.0507, 5.0507], [5.0507, 5.0507, -5.0507]], "species": ["Tb", "Tb", "Tb", "Tb", "Tb", "Tb", "Tl", "Tl", "Tl", "Tl", "Pb", "Pb", "Pb", "Pb", "Pb", "Pb", "Pb"], "frac_coords": [[0.0000, 0.2926, 0.2926], [0.0000, 0.7074, 0.7074], [0.2926, 0.0000, 0.2926], [0.2926, 0.2926, 0.0000], [0.7074, 0.0000, 0.7074], [0.7074, 0.7074, 0.0000], [0.0000, 0.0000, 0.5000], [0.0000, 0.5000, 0.0000], [0.5000, 0.0000, 0.0000], [0.5000, 0.5000, 0.5000], [0.0000, 0.0000, 0.0000], [0.2500, 0.5000, 0.7500], [0.2500, 0.7500, 0.5000], [0.5000, 0.2500, 0.7500], [0.5000, 0.7500, 0.2500], [0.7500, 0.2500, 0.5000], [0.7500, 0.5000, 0.2500]], "space_group": "Im-3m, No. 229", "dos_ef_per_ev_atom": 0.998, "e_tot_ev_per_cell": -65.62, "formation_energy_ev_per_atom": -0.1420, "m_tot_mub_per_fu": 0.0}



{"formula": "Tb12Tl3Pb", "functional": "GGA-PBE", "state": "relaxed", "lattice": [[4.8652, 0.0000, 0.0000], [0.0000, 4.8652, 0.0000], [0.0000, 0.0000, 19.4754]], "species": ["Tb", "Tb", "Tb", "Tb", "Tb", "Tb", "Tb", "Tb", "Tb", "Tb", "Tb", "Tb", "Tl", "Tl", "Tl", "Pb"], "frac_coords": [[0.0000, 0.0000, 0.0000], [0.0000, 0.0000, 0.2503], [0.0000, 0.0000, 0.5000], [0.0000, 0.0000, 0.7497], [0.0000, 0.5000, 0.1253], [0.0000, 0.5000, 0.3751], [0.0000, 0.5000, 0.6249], [0.0000, 0.5000, 0.8747], [0.5000, 0.0000, 0.1253], [0.5000, 0.0000, 0.3751], [0.5000, 0.0000, 0.6249], [0.5000, 0.0000, 0.8747], [0.5000, 0.5000, 0.0000], [0.5000, 0.5000, 0.2491], [0.5000, 0.5000, 0.7509], [0.5000, 0.5000, 0.5000]], "space_group": "P4/mmm, No. 123", "dos_ef_per_ev_atom": 1.535, "e_tot_ev_per_cell": -69.78, "formation_energy_ev_per_atom": -0.2133, "m_tot_mub_per_fu": 0.5}



{"formula": "TbTl2Pb", "functional": "GGA-PBE", "state": "relaxed", "lattice": [[3.9925, 0.0000, 0.0000], [0.0000, 3.9925, 0.0000], [0.0000, 0.0000, 7.2097]], "species": ["Tb", "Tl", "Tl", "Pb"], "frac_coords": [[0.0000, 0.0000, 0.0000], [0.5000, 0.5000, 0.2507], [0.5000, 0.5000, 0.7493], [0.0000, 0.0000, 0.5000]], "space_group": "P4/mmm, No. 123", "dos_ef_per_ev_atom": 0.764, "e_tot_ev_per_cell": -13.54, "formation_energy_ev_per_atom": -0.1171, "m_tot_mub_per_fu": 0.0}



{"formula": "Tb2Tl2Pb", "functional": "GGA-PBE", "state": "relaxed", "lattice": [[5.3145, 0.0000, 0.0000], [-2.6573, 4.6025, 0.0000], [0.0000, 0.0000, 12.1845]], "species": ["Tb", "Tb", "Tb", "Tb", "Tl", "Tl", "Tl", "Tl", "Pb", "Pb"], "frac_coords": [[0.0000, 0.0000, 0.0000], [0.0000, 0.0000, 0.5000], [0.3333, 0.6667, 0.2500], [0.6667, 0.3333, 0.7500], [0.3333, 0.6667, 0.5803], [0.3333, 0.6667, 0.9197], [0.6667, 0.3333, 0.0803], [0.6667, 0.3333, 0.4197], [0.0000, 0.0000, 0.2500], [0.0000, 0.0000, 0.7500]], "space_group": "P6_3/mmc, No. 194", "dos_ef_per_ev_atom": 0.716, "e_tot_ev_per_cell": -37.59, "formation_energy_ev_per_atom": -0.2183, "m_tot_mub_per_fu": 0.0}